The following is a PBE calculation of crystalline La2TmSb3Ir4 at its relaxed geometry, from the Alexandria database.

Unit cell a=4.381 b=4.381 c=11.644 alpha=90.00 beta=90.00 gamma=90.00
Fractional coordinates of all 10 atoms:
La1 0.500 0.000 0.236
La2 0.000 0.500 0.764
Tm1 0.500 0.500 0.500
Sb1 0.000 0.000 0.500
Sb2 0.500 0.000 0.869
Sb3 0.000 0.500 0.131
Ir1 0.500 0.500 0.000
Ir2 0.000 0.000 0.000
Ir3 0.500 0.000 0.646
Ir4 0.000 0.500 0.354

## Properties
The calculation puts the theoretical density at 11.74 Mg/m³. For the raw total energy, the calculation gives -6.96 eV/atom. The value obtained for the uncorrected formation energy is -0.747 eV per atom. The symmetry is P-4m2 (115). The calculation puts the total magnetization at 0.0 μB/cell. As for the density of states at the Fermi level: 5.4 states/eV/cell.

***

The following is a PBE calculation of crystalline Zn2NiPt2 at its relaxed geometry, from the Alexandria database.

Unit cell a=7.217 b=7.217 c=2.856 alpha=90.00 beta=90.00 gamma=90.00
Site moments in Bohr magnetons follow the coordinates.
Fractional coordinates of all 10 atoms:
Ni1 0.000 0.000 0.000  0.52
Ni2 0.500 0.500 0.000  0.52
Zn1 0.368 0.868 0.000  0.00
Zn2 0.868 0.632 0.000  0.00
Zn3 0.632 0.132 0.000  0.00
Zn4 0.132 0.368 0.000  0.00
Pt1 0.167 0.667 0.500  0.02
Pt2 0.667 0.833 0.500  0.03
Pt3 0.833 0.333 0.500  0.02
Pt4 0.333 0.167 0.500  0.03

## Properties
The value obtained for the formation energy is -0.1909 eV/atom. The calculation puts the theoretical density at 12.94 Mg/m³. For the raw total energy, the calculation gives -4.27 eV/atom. The symmetry is P4/mbm (127). The calculation puts the total magnetization at 1.1 μB/cell. As for the density of states at the Fermi level: 7.7 states/eV/cell.

***

The following is a PBE calculation of crystalline SmNpIr2 at its relaxed geometry, from the Alexandria database.

Unit cell a=3.430 b=3.430 c=7.081 alpha=90.00 beta=90.00 gamma=90.00
Site moments in Bohr magnetons follow the coordinates.
Fractional coordinates of all 4 atoms:
Np1 0.500 0.500 0.000  3.25
Ir1 0.000 0.000 0.777  -0.27
Ir2 0.000 0.000 0.223  -0.27
Sm1 0.500 0.500 0.500  0.14

## Properties
The value obtained for the formation energy is -0.4314 eV/atom. The calculation puts the theoretical density at 15.38 Mg/m³. For the raw total energy, the calculation gives -9.28 eV/atom. The symmetry is P4/mmm (123). The calculation puts the total magnetization at 3.1 μB/cell. As for the density of states at the Fermi level: 6.3 states/eV/cell.

***

Question: Among the records above, which one has the lowest raw total energy?
Answer: SmNpIr2